PBE LuPb3, optimized geometry; SG = Pm-3m, No. 221
1.0
4.830 0.000 0.000
0.000 4.830 0.000
0.000 0.000 4.830
Lu Pb
1 3
Cartesian
0.000 0.000 0.000 Lu
2.415 2.415 0.000 Pb
2.415 0.000 2.415 Pb
0.000 2.415 2.415 Pb



PBE LiDyZnSe3, optimized geometry; SG = Cmcm, No. 63; offset from the most stable computed form = 34.7 meV/atom
1.0
-5.721 -1.636 3.378
-6.550 -1.918 -0.488
3.053 -10.454 0.108
Dy Li Se Zn
2 2 6 2
Cartesian
0.000 0.000 0.000 Dy
1.526 -5.227 0.054 Dy
-8.751 -5.369 2.268 Li
-0.466 -8.639 0.730 Li
-4.153 -2.066 1.041 Se
-0.375 -2.943 0.295 Se
-3.092 -5.701 1.079 Se
-6.126 -8.307 1.919 Se
-8.842 -11.064 2.703 Se
-5.065 -11.941 1.957 Se
-5.079 -4.305 1.403 Zn
-4.138 -9.702 1.595 Zn



PBE DyTaNb, optimized geometry; SG = F-43m, No. 216; E_form = 884.4 meV per atom
1.0
2.563 1.322 3.680
-1.570 -0.764 4.337
2.054 -3.221 2.696
Dy Nb Ta
1 1 1
Cartesian
0.762 -0.666 2.679 Dy
0.000 0.000 0.000 Nb
2.285 -1.997 8.036 Ta



PBE Cs2TmSe4, optimized geometry; SG = C2/m, No. 12
1.0
-4.405 6.282 3.480
-4.669 -0.106 7.012
11.159 0.227 1.243
Cs Se Tm
4 8 2
Cartesian
-2.633 2.518 4.357 Cs
1.505 1.065 2.038 Cs
0.580 5.338 9.697 Cs
4.718 3.885 7.379 Cs
-6.918 5.411 9.270 Se
-3.114 4.319 7.578 Se
0.092 5.011 5.583 Se
-0.030 2.062 7.214 Se
2.114 4.340 4.522 Se
1.992 1.392 6.152 Se
5.199 2.084 4.157 Se
9.002 0.992 2.466 Se
-4.295 5.507 9.638 Tm
6.380 0.896 2.097 Tm



PBE LiCuSbMo, optimized geometry; SG = F-43m, No. 216; offset from the most stable computed form = 0.0 meV/atom
1.0
1.936 3.166 2.467
-2.496 2.707 2.509
0.081 -0.373 4.439
Cu Li Mo Sb
1 1 1 1
Cartesian
-0.359 4.125 7.061 Cu
-0.240 2.750 4.708 Li
-0.120 1.375 2.354 Mo
0.000 0.000 0.000 Sb



PBE Tl3CdCl5, optimized geometry; SG = I4/mcm, No. 140
1.0
4.426 7.749 3.760
-7.216 5.432 3.492
1.829 -9.374 1.600
Cd Cl Tl
2 10 6
Cartesian
2.430 2.483 4.493 Cd
-3.391 1.324 4.359 Cd
0.000 0.000 0.000 Cl
-1.395 6.591 3.626 Cl
-3.813 3.558 3.358 Cl
-4.651 7.518 5.537 Cl
-0.354 -3.569 1.501 Cl
-1.192 0.391 3.679 Cl
0.230 3.416 5.173 Cl
-0.608 7.376 7.351 Cl
3.689 -3.711 3.315 Cl
2.851 0.249 5.494 Cl
-0.698 3.295 1.813 Tl
-2.093 9.886 5.439 Tl
1.595 6.659 4.653 Tl
1.286 -1.179 2.638 Tl
-2.248 4.986 6.214 Tl
-2.557 -2.852 4.199 Tl



PBE HoLuTe, optimized geometry; SG = F-43m, No. 216; offset from the most stable computed form = 0.0 meV/atom
1.0
2.505 1.446 4.090
-2.505 1.446 4.090
0.000 -2.892 4.090
Ho Lu Te
1 1 1
Cartesian
0.000 0.000 3.067 Ho
0.000 0.000 9.202 Lu
0.000 0.000 0.000 Te



PBE Li5Cu3As3, optimized geometry; SG = P-62m, No. 189
1.0
7.730 0.000 0.000
-3.865 6.694 0.000
0.000 0.000 3.853
As Cu Li
3 3 5
Cartesian
2.774 0.000 0.000 As
-1.387 2.402 0.000 As
2.478 4.292 0.000 As
1.467 0.000 1.927 Cu
-0.733 1.270 1.927 Cu
3.132 5.424 1.927 Cu
5.462 0.000 0.000 Li
1.134 1.964 0.000 Li
3.865 2.231 0.000 Li
0.000 4.463 0.000 Li
-2.731 4.730 0.000 Li



PBE ZrSb2Ir, optimized geometry; SG = F-43m, No. 216
1.0
0.000 3.495 3.495
3.495 0.000 3.495
3.495 3.495 0.000
Ir Sb Zr
1 2 1
Cartesian
1.747 1.747 1.747 Ir
0.000 0.000 0.000 Sb
5.242 5.242 5.242 Sb
3.495 3.495 3.495 Zr



PBE TcNiHgSb, optimized geometry; SG = F-43m, No. 216; offset from the most stable computed form = 370.5 meV/atom
1.0
0.000 3.328 3.328
3.328 0.000 3.328
3.328 3.328 0.000
Hg Ni Sb Tc
1 1 1 1
Cartesian
1.664 1.664 1.664 Hg
4.992 4.992 4.992 Ni
0.000 0.000 0.000 Sb
3.328 3.328 3.328 Tc



PBE Ho2TmIn3Ni3, optimized geometry; SG = Amm2, No. 38
1.0
3.773 0.000 0.000
0.000 6.403 3.697
0.000 -6.403 3.697
Ho In Ni Tm
2 3 3 1
Cartesian
0.000 2.629 1.518 Ho
0.000 -2.629 1.518 Ho
1.887 0.000 1.894 In
1.887 1.631 6.447 In
1.887 -1.631 6.447 In
1.887 2.127 3.699 Ni
1.887 -2.127 3.699 Ni
0.000 0.000 7.390 Ni
0.000 0.000 4.361 Tm



PBE BaNpSc, optimized geometry; SG = F-43m, No. 216
1.0
0.000 3.923 3.923
3.923 0.000 3.923
3.923 3.923 0.000
Ba Np Sc
1 1 1
Cartesian
1.961 1.961 1.961 Ba
5.884 5.884 5.884 Np
0.000 0.000 0.000 Sc



PBE KNbF3, optimized geometry; SG = R-3c, No. 167; offset from the most stable computed form = 178.9 meV/atom
1.0
3.291 1.900 4.792
-3.291 1.900 4.792
0.000 -3.800 4.792
F K Nb
6 2 2
Cartesian
-1.010 2.051 5.990 F
1.272 1.900 8.387 F
2.281 -0.151 5.990 F
-2.281 0.151 8.387 F
-1.272 -1.900 5.990 F
1.010 -2.051 8.387 F
0.000 0.000 0.000 K
0.000 0.000 7.189 K
0.000 0.000 3.594 Nb
0.000 0.000 10.783 Nb



PBE RbCuB, optimized geometry; SG = F-43m, No. 216; offset from the most stable computed form = 0.0 meV/atom
1.0
0.000 3.302 3.302
3.302 0.000 3.302
3.302 3.302 0.000
B Cu Rb
1 1 1
Cartesian
0.000 0.000 0.000 B
1.651 1.651 1.651 Cu
4.954 4.954 4.954 Rb



PBE TbGd2Ag4Pb4, optimized geometry; SG = Immm, No. 71
1.0
-4.555 -3.644 6.852
0.180 3.715 8.194
-2.021 0.577 -8.749
Ag Gd Pb Tb
4 2 4 1
Cartesian
-3.401 -0.896 4.347 Ag
-4.917 -0.872 9.561 Ag
-1.479 1.519 -3.265 Ag
-2.995 1.544 1.949 Ag
-3.848 -1.524 0.978 Gd
-2.548 2.172 5.318 Gd
-0.928 0.015 3.191 Pb
-3.447 0.056 11.855 Pb
-3.526 -0.589 7.136 Pb
-2.870 1.237 -0.840 Pb
0.000 0.000 0.000 Tb



PBE Zn2Ir9, optimized geometry; SG = P-3m1, No. 164; E_form = 25.5 meV per atom
1.0
2.733 0.000 0.000
-1.366 2.367 0.000
0.000 0.000 36.490
Ir Zn
9 2
Cartesian
0.000 0.000 0.000 Ir
1.366 0.789 2.235 Ir
0.000 1.578 4.474 Ir
0.000 0.000 6.697 Ir
1.366 0.789 8.935 Ir
0.000 1.578 27.555 Ir
0.000 0.000 29.793 Ir
1.366 0.789 32.016 Ir
0.000 1.578 34.255 Ir
0.000 1.578 11.139 Zn
1.366 0.789 25.351 Zn



PBE KZrAgSe3, optimized geometry; SG = Cmcm, No. 63
1.0
1.993 -7.459 0.000
1.993 7.459 0.000
0.000 0.000 10.512
Ag K Se Zr
2 2 6 2
Cartesian
1.993 -0.652 2.628 Ag
1.993 0.652 7.884 Ag
1.993 3.753 2.628 K
1.993 -3.753 7.884 K
1.993 -1.879 0.362 Se
1.993 -6.404 2.628 Se
1.993 -1.879 4.894 Se
1.993 1.879 5.618 Se
1.993 6.404 7.884 Se
1.993 1.879 10.150 Se
0.000 0.000 0.000 Zr
0.000 0.000 5.256 Zr



PBE Ba2Te2PdF2, optimized geometry; SG = P-4m2, No. 115
1.0
-0.097 -3.960 2.394
2.414 1.999 3.405
-7.178 2.400 3.679
Ba F Pd Te
2 2 1 2
Cartesian
-1.244 -1.580 1.810 Ba
-4.775 3.000 4.769 Ba
0.000 0.000 0.000 F
1.158 -0.980 2.899 F
-3.589 1.200 1.840 Pd
-1.356 1.857 3.017 Te
-4.663 -0.437 3.562 Te



Summary of calculated total energy in eV/atom
-4.085 -4.309 -7.965 -3.961 -4.866 -2.936 -4.427 -3.410 -6.360 -4.359 -4.797 -5.710 -5.392 -2.101 -3.938 -7.449 -4.861 -4.914
(order as listed above)